Model w:
# Pr3Ho2In

A relaxed Pr3Ho2In crystal (GGA-PBE, Alexandria via LeMat-Bulk).

Cell lengths 4.939, 5.038, 8.066 Å; angles 108.20, 90.00, 90.00 degrees
Atoms (fractional coordinates):
Ho1 0.000 0.337 0.674
Ho2 0.000 0.663 0.326
Pr1 0.500 0.831 0.661
Pr2 0.500 0.500 0.000
Pr3 0.500 0.169 0.339
In1 0.000 0.000 0.000

Output
Symmetry = Cmmm, No. 65
D(E_F) = 7.51 states/eV per cell
Size of the total moment = 0.0 μB per formula unit

Model x:
# Pr3Ho2In

A relaxed Pr3Ho2In crystal (GGA-PBE, Alexandria via LeMat-Bulk).

Cell lengths 3.747, 8.761, 11.807 Å; angles 90.81, 90.00, 90.00 degrees
Atoms (fractional coordinates):
Ho1 0.250 0.357 0.430
Ho2 0.750 0.079 0.892
Ho3 0.250 0.921 0.108
Ho4 0.750 0.643 0.570
Pr1 0.250 0.905 0.397
Pr2 0.250 0.393 0.751
Pr3 0.750 0.658 0.931
Pr4 0.750 0.607 0.249
Pr5 0.250 0.342 0.069
Pr6 0.750 0.095 0.603
In1 0.750 0.164 0.259
In2 0.250 0.836 0.741

Output
Symmetry = P2_1/m, No. 11
D(E_F) = 16.48 states/eV per cell
Size of the total moment = 0.0 μB per formula unit

Quick one: least stable of them? model x

Model w:
# Pr12Ho7In

A relaxed Pr12Ho7In crystal (GGA-PBE, Alexandria via LeMat-Bulk).

Cell lengths 9.381, 9.381, 9.381 Å; angles 107.37, 107.37, 107.37 degrees
Atoms (fractional coordinates):
Pr1 0.381 0.220 0.679
Pr2 0.062 0.290 0.396
Pr3 0.619 0.780 0.321
Pr4 0.321 0.619 0.780
Pr5 0.604 0.938 0.710
Pr6 0.679 0.381 0.220
Pr7 0.780 0.321 0.619
Pr8 0.710 0.604 0.938
Pr9 0.290 0.396 0.062
Pr10 0.220 0.679 0.381
Pr11 0.396 0.062 0.290
Pr12 0.938 0.710 0.604
Ho1 0.994 0.102 0.688
Ho2 0.898 0.312 0.006
Ho3 0.312 0.006 0.898
Ho4 0.006 0.898 0.312
Ho5 0.102 0.688 0.994
Ho6 0.688 0.994 0.102
Ho7 0.500 0.500 0.500
In1 0.000 0.000 0.000

Output
Symmetry = R-3, No. 148
D(E_F) = 32.63 states/eV per cell
Size of the total moment = 0.0 μB per formula unit

Model x:
# Pr12Ho7In

A relaxed Pr12Ho7In crystal (GGA-PBE, Alexandria via LeMat-Bulk).

Cell lengths 10.122, 10.122, 10.122 Å; angles 109.47, 109.47, 109.47 degrees
Atoms (fractional coordinates):
In1 0.000 0.000 0.000
Pr1 0.442 0.221 0.221
Pr2 0.221 0.442 0.221
Pr3 0.779 0.000 0.221
Pr4 0.779 0.558 0.779
Pr5 0.000 0.779 0.221
Pr6 0.221 0.000 0.779
Pr7 0.779 0.221 0.000
Pr8 0.221 0.779 0.000
Pr9 0.221 0.221 0.442
Pr10 0.779 0.779 0.558
Pr11 0.558 0.779 0.779
Pr12 0.000 0.221 0.779
Ho1 0.000 0.500 0.000
Ho2 0.500 0.000 0.500
Ho3 0.500 0.500 0.500
Ho4 0.000 0.500 0.500
Ho5 0.000 0.000 0.500
Ho6 0.500 0.000 0.000
Ho7 0.500 0.500 0.000

Output
Symmetry = Im-3m, No. 229
D(E_F) = 38.61 states/eV per cell
Size of the total moment = 0.0 μB per formula unit

Quick one: least stable of them? model x

Model w:
# Pr6HoIn2

A relaxed Pr6HoIn2 crystal (GGA-PBE, Alexandria via LeMat-Bulk).

Cell lengths 3.503, 10.022, 10.022 Å; angles 56.91, 79.80, 79.80 degrees
Atoms (fractional coordinates):
Ho1 0.000 0.000 0.000
Pr1 0.500 0.336 0.664
Pr2 0.672 0.644 0.016
Pr3 0.500 0.664 0.336
Pr4 0.328 0.356 0.984
Pr5 0.672 0.016 0.644
Pr6 0.328 0.984 0.356
In1 0.157 0.346 0.346
In2 0.843 0.654 0.654

Output
Symmetry = C2/m, No. 12
D(E_F) = 12.40 states/eV per cell
Size of the total moment = 0.0 μB per formula unit

Model x:
# Pr6HoIn2

A relaxed Pr6HoIn2 crystal (GGA-PBE, Alexandria via LeMat-Bulk).

Cell lengths 3.866, 6.890, 12.118 Å; angles 74.26, 80.82, 73.71 degrees
Atoms (fractional coordinates):
In1 0.359 0.090 0.191
In2 0.641 0.910 0.809
Pr1 0.321 0.480 0.878
Pr2 0.693 0.207 0.406
Pr3 0.307 0.793 0.594
Pr4 0.979 0.704 0.339
Pr5 0.679 0.520 0.122
Pr6 0.021 0.296 0.661
Ho1 0.000 0.000 0.000

Output
Symmetry = C2/m, No. 12
D(E_F) = 10.87 states/eV per cell
Size of the total moment = 0.0 μB per formula unit

Quick one: least stable of them? model w

Model w:
# PrHoIn6

A relaxed PrHoIn6 crystal (GGA-PBE, Alexandria via LeMat-Bulk).

Cell lengths 4.685, 4.685, 9.363 Å; angles 90.00, 90.00, 90.00 degrees
Atoms (fractional coordinates):
In1 0.500 0.500 0.500
In2 0.500 0.500 0.000
In3 0.500 0.000 0.744
In4 0.000 0.500 0.744
In5 0.000 0.500 0.256
In6 0.500 0.000 0.256
Pr1 0.000 0.000 0.000
Ho1 0.000 0.000 0.500

Output
Symmetry = P4/mmm, No. 123
D(E_F) = 2.93 states/eV per cell
Size of the total moment = 0.0 μB per formula unit

Model x:
# PrHoIn6

A relaxed PrHoIn6 crystal (GGA-PBE, Alexandria via LeMat-Bulk).

Cell lengths 5.327, 6.698, 6.698 Å; angles 119.99, 90.00, 90.00 degrees
Atoms (fractional coordinates):
Ho1 0.000 0.084 0.916
In1 0.000 0.593 0.937
In2 0.500 0.912 0.574
In3 0.000 0.063 0.407
In4 0.000 0.591 0.409
In5 0.500 0.915 0.085
In6 0.500 0.426 0.088
Pr1 0.500 0.416 0.584

Output
Symmetry = Amm2, No. 38
D(E_F) = 3.68 states/eV per cell
Size of the total moment = 0.0 μB per formula unit

Quick one: least stable of them? model x

Model w:
# Pr5Ho2In

A relaxed Pr5Ho2In crystal (GGA-PBE, Alexandria via LeMat-Bulk).

Cell lengths 7.613, 7.613, 7.000 Å; angles 122.93, 122.93, 90.03 degrees
Atoms (fractional coordinates):
Ho1 0.719 0.219 0.439
Ho2 0.219 0.719 0.439
Pr1 0.242 0.695 0.936
Pr2 0.695 0.242 0.936
Pr3 0.242 0.242 0.937
Pr4 0.773 0.773 0.547
Pr5 0.695 0.695 0.937
In1 0.192 0.192 0.384

Output
Symmetry = I4mm, No. 107
D(E_F) = 8.84 states/eV per cell
Size of the total moment = 0.0 μB per formula unit

Model x:
# Pr5Ho2In

A relaxed Pr5Ho2In crystal (GGA-PBE, Alexandria via LeMat-Bulk).

Cell lengths 5.040, 5.040, 10.911 Å; angles 103.36, 103.36, 90.00 degrees
Atoms (fractional coordinates):
Ho1 0.251 0.251 0.502
Ho2 0.749 0.749 0.498
Pr1 0.877 0.377 0.753
Pr2 0.123 0.623 0.247
Pr3 0.500 0.500 0.000
Pr4 0.377 0.877 0.753
Pr5 0.623 0.123 0.247
In1 0.000 0.000 0.000

Output
Symmetry = I4/mmm, No. 139
D(E_F) = 10.93 states/eV per cell
Size of the total moment = 0.0 μB per formula unit

Quick one: least stable of them? model w

Model w:
# Pr3Ho2In2

A relaxed Pr3Ho2In2 crystal (GGA-PBE, Alexandria via LeMat-Bulk).

Cell lengths 3.539, 8.068, 8.783 Å; angles 117.73, 101.62, 90.00 degrees
Atoms (fractional coordinates):
In1 0.433 0.098 0.865
In2 0.567 0.902 0.135
Pr1 0.211 0.784 0.421
Pr2 0.000 0.500 0.000
Pr3 0.789 0.216 0.579
Ho1 0.874 0.717 0.748
Ho2 0.126 0.283 0.252

Output
Symmetry = C2/m, No. 12
D(E_F) = 8.38 states/eV per cell
Size of the total moment = 0.0 μB per formula unit

Model x:
# Pr3Ho2In2

A relaxed Pr3Ho2In2 crystal (GGA-PBE, Alexandria via LeMat-Bulk).

Cell lengths 5.000, 3.545, 12.379 Å; angles 90.00, 78.35, 90.00 degrees
Atoms (fractional coordinates):
In1 0.572 0.500 0.856
In2 0.428 0.500 0.144
Pr1 0.000 0.000 0.000
Pr2 0.143 0.000 0.715
Pr3 0.857 0.000 0.285
Ho1 0.713 0.500 0.575
Ho2 0.287 0.500 0.425

Output
Symmetry = Cmmm, No. 65
D(E_F) = 8.43 states/eV per cell
Size of the total moment = 0.0 μB per formula unit

Quick one: least stable of them? model w

Model w:
# PrSmHoIn

A relaxed PrSmHoIn crystal (GGA-PBE, Alexandria via LeMat-Bulk).

Cell lengths 5.553, 5.553, 5.553 Å; angles 60.00, 60.00, 60.00 degrees
Last column: magnetic moment on the atom in μB.
Atoms (fractional coordinates):
In1 0.250 0.250 0.250  0.00
Sm1 0.500 0.500 0.500  0.12
Pr1 0.000 0.000 0.000  0.12
Ho1 0.750 0.750 0.750  0.21

Output
Symmetry = F-43m, No. 216
D(E_F) = 7.00 states/eV per cell
Size of the total moment = 0.7 μB per formula unit

Model x:
# PrSmHoIn

A relaxed PrSmHoIn crystal (GGA-PBE, Alexandria via LeMat-Bulk).

Cell lengths 5.536, 5.536, 5.538 Å; angles 119.99, 119.99, 90.00 degrees
Last column: magnetic moment on the atom in μB.
Atoms (fractional coordinates):
In1 0.250 0.750 0.500  0.00
Pr1 0.750 0.250 0.500  0.32
Sm1 0.500 0.500 0.000  0.20
Ho1 0.000 0.000 0.000  0.29

Output
Symmetry = F-43m, No. 216
D(E_F) = 5.93 states/eV per cell
Size of the total moment = 1.3 μB per formula unit

Quick one: least stable of them? model x

Model w:
# PrYHoIn

A relaxed PrYHoIn crystal (GGA-PBE, Alexandria via LeMat-Bulk).

Cell lengths 4.901, 4.862, 4.965 Å; angles 90.00, 90.00, 90.00 degrees
Last column: magnetic moment on the atom in μB.
Atoms (fractional coordinates):
In1 0.500 0.000 0.500  -0.01
Ho1 0.500 0.500 0.000  0.07
Y1 0.000 0.500 0.500  0.06
Pr1 0.000 0.000 0.000  0.05

Output
Symmetry = Pmmm, No. 47
D(E_F) = 5.80 states/eV per cell
Size of the total moment = 0.3 μB per formula unit

Model x:
# PrYHoIn

A relaxed PrYHoIn crystal (GGA-PBE, Alexandria via LeMat-Bulk).

Cell lengths 5.523, 5.523, 5.523 Å; angles 60.00, 60.00, 60.00 degrees
Last column: magnetic moment on the atom in μB.
Atoms (fractional coordinates):
Pr1 0.750 0.750 0.750  0.16
In1 0.000 0.000 0.000  0.00
Ho1 0.500 0.500 0.500  0.31
Y1 0.250 0.250 0.250  0.18

Output
Symmetry = F-43m, No. 216
D(E_F) = 5.79 states/eV per cell
Size of the total moment = 1.1 μB per formula unit

Quick one: least stable of them? model x